20
Lattice="6.499 0.000 0.000 0.000 11.347 -2.682 0.000 -5.147 10.463" Properties=species:S:1:pos:R:3 comment="Pr6Sm3In, relaxed, DFT PBE" vol_a3_per_atom=34.09 magnetic_moment_mub_per_cell=0.00 dos_ef_per_ev_cell=25.1 relative_energy_ev_per_atom=0.002 rho_g_cm3=6.874 pbc="T T T"
Pr 3.619 3.282 6.085
Pr 2.186 0.660 8.192
Pr 3.619 1.001 3.224
Sm 6.397 3.045 8.169
Pr 5.436 7.838 2.471
Pr 2.186 -1.637 5.309
Pr 2.048 11.049 -2.444
Sm 0.536 1.699 5.007
Pr 5.114 -0.356 6.645
Sm 3.148 7.284 4.791
Sm 3.148 3.156 -0.388
Sm 6.397 -1.083 2.990
Sm 3.785 4.501 2.774
Pr 0.370 5.199 4.557
In 0.295 -2.581 8.418
Pr 0.370 2.919 1.696
Pr 5.298 -4.848 10.225
In 3.545 8.782 -0.638
Pr 1.865 6.557 1.136
Pr 5.436 5.541 -0.411